(1)
Here is crystalline SrLi at its relaxed geometry from Alexandria via LeMat-Bulk. Energies are from PBE-GGA.

Formation energy from the elements: 0.1 eV per formula unit
Calculated total energy: -10.40 eV for the cell shown

The structure in CIF format:
```
data_SrLi
_chemical_formula_sum 'Sr3 Li3'
_symmetry_space_group_name_H-M 'P 1'
_symmetry_Int_Tables_number 1
_cell_length_a 7.261
_cell_length_b 7.261
_cell_length_c 8.336
_cell_angle_alpha 71.99
_cell_angle_beta 71.99
_cell_angle_gamma 33.50
loop_
_symmetry_equiv_pos_as_xyz
'x,y,z'
loop_
_atom_site_label
_atom_site_type_symbol
_atom_site_fract_x
_atom_site_fract_y
_atom_site_fract_z
Li1 Li 0.993 0.993 0.036
Li2 Li 0.605 0.605 0.187
Li3 Li 0.627 0.627 0.773
Sr1 Sr 0.303 0.303 0.384
Sr2 Sr 0.296 0.296 0.910
Sr3 Sr 0.009 0.009 0.543
```



(2)
Here is crystalline InOs2Br at its relaxed geometry from Alexandria via LeMat-Bulk. Energies are from PBE-GGA.

Uncorrected formation energy: 915 meV per atom
Calculated total energy: -23.21 eV for the cell shown

The structure in CIF format:
```
data_InOs2Br
_chemical_formula_sum 'In1 Os2 Br1'
_symmetry_space_group_name_H-M 'P 1'
_symmetry_Int_Tables_number 1
_cell_length_a 5.518
_cell_length_b 5.518
_cell_length_c 5.681
_cell_angle_alpha 59.73
_cell_angle_beta 59.73
_cell_angle_gamma 31.22
loop_
_symmetry_equiv_pos_as_xyz
'x,y,z'
loop_
_atom_site_label
_atom_site_type_symbol
_atom_site_fract_x
_atom_site_fract_y
_atom_site_fract_z
In1 In 0.722 0.722 0.750
Os1 Os 0.276 0.276 0.130
Os2 Os 0.956 0.956 0.172
Br1 Br 0.547 0.547 0.448
```



(3)
Here is crystalline La2ZnFeBi at its relaxed geometry from Alexandria via LeMat-Bulk. Energies are from PBE-GGA.

Formation energy from the elements: -1.7 eV per formula unit
Calculated total energy: -25.20 eV for the cell shown

The structure in CIF format:
```
data_La2ZnFeBi
_chemical_formula_sum 'La2 Zn1 Fe1 Bi1'
_symmetry_space_group_name_H-M 'P 1'
_symmetry_Int_Tables_number 1
_cell_length_a 5.192
_cell_length_b 5.192
_cell_length_c 4.786
_cell_angle_alpha 90.00
_cell_angle_beta 90.00
_cell_angle_gamma 90.00
loop_
_symmetry_equiv_pos_as_xyz
'x,y,z'
loop_
_atom_site_label
_atom_site_type_symbol
_atom_site_fract_x
_atom_site_fract_y
_atom_site_fract_z
Zn1 Zn 0.000 0.000 0.500
La1 La 0.500 0.000 0.000
La2 La 0.000 0.500 0.000
Bi1 Bi 0.500 0.500 0.500
Fe1 Fe 0.000 0.000 0.000
```



(4)
Here is crystalline BaNaTe2N at its relaxed geometry from Alexandria via LeMat-Bulk. Energies are from PBE-GGA.

Uncorrected formation energy: 505 meV per atom
Calculated total energy: -15.32 eV for the cell shown

The structure in CIF format:
```
data_BaNaTe2N
_chemical_formula_sum 'Ba1 Na1 Te2 N1'
_symmetry_space_group_name_H-M 'P 1'
_symmetry_Int_Tables_number 1
_cell_length_a 6.811
_cell_length_b 6.811
_cell_length_c 4.396
_cell_angle_alpha 90.00
_cell_angle_beta 90.00
_cell_angle_gamma 90.00
loop_
_symmetry_equiv_pos_as_xyz
'x,y,z'
loop_
_atom_site_label
_atom_site_type_symbol
_atom_site_fract_x
_atom_site_fract_y
_atom_site_fract_z
Na1 Na 0.500 0.500 0.500
Te1 Te 0.500 0.000 0.000
Te2 Te 0.000 0.500 0.000
Ba1 Ba 0.000 0.000 0.000
N1 N 0.000 0.000 0.500
```



(5)
Here is crystalline Pm3HSe2 at its relaxed geometry from Alexandria via LeMat-Bulk. Energies are from PBE-GGA.

Calculated total energy: -62.85 eV for the cell shown

The structure in CIF format:
```
data_Pm3HSe2
_chemical_formula_sum 'Pm6 H2 Se4'
_symmetry_space_group_name_H-M 'P 1'
_symmetry_Int_Tables_number 1
_cell_length_a 5.923
_cell_length_b 7.927
_cell_length_c 7.927
_cell_angle_alpha 119.24
_cell_angle_beta 90.00
_cell_angle_gamma 90.00
loop_
_symmetry_equiv_pos_as_xyz
'x,y,z'
loop_
_atom_site_label
_atom_site_type_symbol
_atom_site_fract_x
_atom_site_fract_y
_atom_site_fract_z
Se1 Se 0.471 0.501 0.813
Se2 Se 0.971 0.187 0.499
Se3 Se 0.971 0.499 0.187
Se4 Se 0.471 0.813 0.501
H1 H 0.097 0.821 0.821
H2 H 0.597 0.179 0.179
Pm1 Pm 0.470 0.443 0.144
Pm2 Pm 0.479 0.904 0.904
Pm3 Pm 0.979 0.096 0.096
Pm4 Pm 0.970 0.557 0.856
Pm5 Pm 0.470 0.144 0.443
Pm6 Pm 0.970 0.856 0.557
```



(6)
Here is crystalline Ti5Mn2Ga2Ni at its relaxed geometry from Alexandria via LeMat-Bulk. Energies are from PBE-GGA.

Formation energy from the elements: -1.7 eV per formula unit
Calculated total energy: -142.64 eV for the cell shown

The structure in CIF format:
```
data_Ti5Mn2Ga2Ni
_chemical_formula_sum 'Ti10 Mn4 Ga4 Ni2'
_symmetry_space_group_name_H-M 'P 1'
_symmetry_Int_Tables_number 1
_cell_length_a 3.009
_cell_length_b 10.063
_cell_length_c 10.063
_cell_angle_alpha 90.00
_cell_angle_beta 90.00
_cell_angle_gamma 90.00
loop_
_symmetry_equiv_pos_as_xyz
'x,y,z'
loop_
_atom_site_label
_atom_site_type_symbol
_atom_site_fract_x
_atom_site_fract_y
_atom_site_fract_z
Ti1 Ti 0.500 0.076 0.805
Ti2 Ti 0.500 0.305 0.576
Ti3 Ti 0.500 0.576 0.695
Ti4 Ti 0.500 0.805 0.924
Ti5 Ti 0.500 0.500 0.000
Ti6 Ti 0.500 0.924 0.195
Ti7 Ti 0.500 0.424 0.305
Ti8 Ti 0.500 0.000 0.500
Ti9 Ti 0.500 0.195 0.076
Ti10 Ti 0.500 0.695 0.424
Mn1 Mn 0.000 0.864 0.364
Mn2 Mn 0.000 0.636 0.864
Mn3 Mn 0.000 0.364 0.136
Mn4 Mn 0.000 0.136 0.636
Ga1 Ga 0.000 0.330 0.830
Ga2 Ga 0.000 0.670 0.170
Ga3 Ga 0.000 0.170 0.330
Ga4 Ga 0.000 0.830 0.670
Ni1 Ni 0.000 0.000 0.000
Ni2 Ni 0.000 0.500 0.500
```



(7)
Here is crystalline TmAs2Pd8 at its relaxed geometry from Alexandria via LeMat-Bulk. Energies are from PBE-GGA.

Formation energy from the elements: -5.8 eV per formula unit
Calculated total energy: -61.09 eV for the cell shown

The structure in CIF format:
```
data_TmAs2Pd8
_chemical_formula_sum 'Tm1 As2 Pd8'
_symmetry_space_group_name_H-M 'P 1'
_symmetry_Int_Tables_number 1
_cell_length_a 4.500
_cell_length_b 6.802
_cell_length_c 6.802
_cell_angle_alpha 111.89
_cell_angle_beta 98.76
_cell_angle_gamma 98.76
loop_
_symmetry_equiv_pos_as_xyz
'x,y,z'
loop_
_atom_site_label
_atom_site_type_symbol
_atom_site_fract_x
_atom_site_fract_y
_atom_site_fract_z
As1 As 0.000 0.323 0.677
As2 As 0.000 0.677 0.323
Pd1 Pd 0.091 0.065 0.320
Pd2 Pd 0.909 0.680 0.935
Pd3 Pd 0.321 0.619 0.619
Pd4 Pd 0.500 0.247 0.753
Pd5 Pd 0.091 0.320 0.065
Pd6 Pd 0.679 0.381 0.381
Pd7 Pd 0.909 0.935 0.680
Pd8 Pd 0.500 0.753 0.247
Tm1 Tm 0.500 0.000 0.000
```



(8)
Here is crystalline Pt2PbBr at its relaxed geometry from Alexandria via LeMat-Bulk. Energies are from PBE-GGA.

Uncorrected formation energy: 326 meV per atom
Calculated total energy: -16.16 eV for the cell shown

The structure in CIF format:
```
data_Pt2PbBr
_chemical_formula_sum 'Pt2 Pb1 Br1'
_symmetry_space_group_name_H-M 'P 1'
_symmetry_Int_Tables_number 1
_cell_length_a 3.530
_cell_length_b 5.282
_cell_length_c 6.041
_cell_angle_alpha 46.56
_cell_angle_beta 90.00
_cell_angle_gamma 90.00
loop_
_symmetry_equiv_pos_as_xyz
'x,y,z'
loop_
_atom_site_label
_atom_site_type_symbol
_atom_site_fract_x
_atom_site_fract_y
_atom_site_fract_z
Pb1 Pb 0.000 0.000 0.500
Pt1 Pt 0.000 0.000 0.000
Pt2 Pt 0.500 0.500 0.000
Br1 Br 0.500 0.500 0.500
```



(9)
Here is crystalline KCdWI2 at its relaxed geometry from Alexandria via LeMat-Bulk. Energies are from PBE-GGA.

Uncorrected formation energy: 664 meV per atom
Calculated total energy: -14.75 eV for the cell shown

The structure in CIF format:
```
data_KCdWI2
_chemical_formula_sum 'K1 Cd1 W1 I2'
_symmetry_space_group_name_H-M 'P 1'
_symmetry_Int_Tables_number 1
_cell_length_a 5.382
_cell_length_b 6.889
_cell_length_c 5.382
_cell_angle_alpha 90.00
_cell_angle_beta 90.00
_cell_angle_gamma 90.00
loop_
_symmetry_equiv_pos_as_xyz
'x,y,z'
loop_
_atom_site_label
_atom_site_type_symbol
_atom_site_fract_x
_atom_site_fract_y
_atom_site_fract_z
I1 I 0.000 0.000 0.500
I2 I 0.500 0.000 0.000
Cd1 Cd 0.500 0.500 0.500
K1 K 0.000 0.500 0.000
W1 W 0.000 0.000 0.000
```



(10)
Here is crystalline BaAgBr3 at its relaxed geometry from Alexandria via LeMat-Bulk. Energies are from PBE-GGA.

Uncorrected formation energy: -1249 meV per atom
Calculated total energy: -16.04 eV for the cell shown

The structure in CIF format:
```
data_BaAgBr3
_chemical_formula_sum 'Ba1 Ag1 Br3'
_symmetry_space_group_name_H-M 'P 1'
_symmetry_Int_Tables_number 1
_cell_length_a 5.494
_cell_length_b 5.494
_cell_length_c 5.494
_cell_angle_alpha 90.00
_cell_angle_beta 90.00
_cell_angle_gamma 90.00
loop_
_symmetry_equiv_pos_as_xyz
'x,y,z'
loop_
_atom_site_label
_atom_site_type_symbol
_atom_site_fract_x
_atom_site_fract_y
_atom_site_fract_z
Br1 Br 0.000 0.000 0.500
Br2 Br 0.000 0.500 0.000
Br3 Br 0.500 0.000 0.000
Ba1 Ba 0.500 0.500 0.500
Ag1 Ag 0.000 0.000 0.000
```



(11)
Here is crystalline NaLiBeTe2 at its relaxed geometry from Alexandria via LeMat-Bulk. Energies are from PBE-GGA.

Uncorrected formation energy: -562 meV per atom
Calculated total energy: -32.11 eV for the cell shown

The structure in CIF format:
```
data_NaLiBeTe2
_chemical_formula_sum 'Na2 Li2 Be2 Te4'
_symmetry_space_group_name_H-M 'P 1'
_symmetry_Int_Tables_number 1
_cell_length_a 6.187
_cell_length_b 6.916
_cell_length_c 7.614
_cell_angle_alpha 90.63
_cell_angle_beta 90.00
_cell_angle_gamma 90.00
loop_
_symmetry_equiv_pos_as_xyz
'x,y,z'
loop_
_atom_site_label
_atom_site_type_symbol
_atom_site_fract_x
_atom_site_fract_y
_atom_site_fract_z
Te1 Te 0.739 0.225 0.503
Te2 Te 0.261 0.225 0.003
Te3 Te 0.261 0.775 0.497
Te4 Te 0.739 0.775 0.997
Be1 Be 0.000 0.000 0.500
Be2 Be 0.000 0.000 0.000
Li1 Li 0.501 0.000 0.250
Li2 Li 0.499 0.000 0.750
Na1 Na 0.991 0.500 0.250
Na2 Na 0.009 0.500 0.750
```



(12)
Here is crystalline Tl2AgTeS4 at its relaxed geometry from Alexandria via LeMat-Bulk. Energies are from PBE-GGA.

Uncorrected formation energy: -87 meV per atom
Calculated total energy: -55.86 eV for the cell shown

The structure in CIF format:
```
data_Tl2AgTeS4
_chemical_formula_sum 'Tl4 Ag2 Te2 S8'
_symmetry_space_group_name_H-M 'P 1'
_symmetry_Int_Tables_number 1
_cell_length_a 8.161
_cell_length_b 8.161
_cell_length_c 8.259
_cell_angle_alpha 120.39
_cell_angle_beta 120.39
_cell_angle_gamma 90.31
loop_
_symmetry_equiv_pos_as_xyz
'x,y,z'
loop_
_atom_site_label
_atom_site_type_symbol
_atom_site_fract_x
_atom_site_fract_y
_atom_site_fract_z
S1 S 0.214 0.747 0.981
S2 S 0.753 0.286 0.519
S3 S 0.239 0.261 0.472
S4 S 0.761 0.739 0.528
S5 S 0.239 0.261 0.028
S6 S 0.786 0.253 0.019
S7 S 0.247 0.714 0.481
S8 S 0.761 0.739 0.972
Tl1 Tl 0.000 0.000 0.500
Tl2 Tl 0.500 0.000 0.000
Tl3 Tl 0.500 0.000 0.500
Tl4 Tl 0.500 0.500 0.000
Ag1 Ag 0.000 0.500 0.000
Ag2 Ag 0.000 0.500 0.500
Te1 Te 0.000 0.000 0.000
Te2 Te 0.500 0.500 0.500
```